Entry 1:
TaTiGa3 | PBE | optimized geometry

```
TaTiGa3
1.0
4.8971 0.0000 0.0000
0.0000 4.8971 0.0000
0.0000 0.0000 4.8971
Ta Ti Ga
1 1 3
Direct
0.0000 0.0000 0.0000 Ta
0.5000 0.5000 0.5000 Ti
0.0000 0.0000 0.5000 Ga
0.0000 0.5000 0.0000 Ga
0.5000 0.0000 0.0000 Ga
```

Results
Crystal system: cubic
Space group: Pm-3m
E_tot in eV per cell: -24.9

=====

Entry 2:
Ge3Pt2 | PBE | optimized geometry

```
Ge3Pt2
1.0
6.2828 0.0000 0.0000
0.0000 3.5904 0.0000
-0.3628 0.0000 8.2811
Ge Pt
6 4
Direct
0.0606 0.2500 0.3635 Ge
0.1890 0.2500 0.9594 Ge
0.4272 0.2500 0.7207 Ge
0.5728 0.7500 0.2793 Ge
0.8110 0.7500 0.0406 Ge
0.9394 0.7500 0.6365 Ge
0.1901 0.7500 0.1697 Pt
0.3041 0.7500 0.5204 Pt
0.6959 0.2500 0.4796 Pt
0.8099 0.2500 0.8303 Pt
```

Results
Crystal system: monoclinic
Space group: P2_1/m
E_tot in eV per cell: -55.7

=====

Entry 3:
Mn2CuRh | PBE | optimized geometry

```
Mn2CuRh
1.0
3.0275 -3.0484 0.0000
3.0275 3.0484 0.0000
0.0000 0.0000 3.0029
Mn Cu Rh
2 1 1
Direct
0.0000 0.5000 0.0000 Mn
0.5000 0.0000 0.0000 Mn
0.0000 0.0000 0.5000 Cu
0.5000 0.5000 0.5000 Rh
```

Results
Crystal system: orthorhombic
Space group: Cmmm
E_tot in eV per cell: -29.8

=====

Entry 4:
LaNdHoCd | PBE | optimized geometry

```
LaNdHoCd
1.0
3.7124 0.0000 0.0000
0.0000 3.7124 0.0000
0.0000 0.0000 9.0408
La Nd Ho Cd
1 1 1 1
Direct
0.0000 0.0000 0.0000 La
0.5000 0.5000 0.7124 Nd
0.5000 0.5000 0.2754 Ho
0.0000 0.0000 0.4804 Cd
```

Results
Crystal system: tetragonal
Space group: P4mm
E_tot in eV per cell: -15.8

=====

Entry 5:
Li2ZnHg3 | PBE | optimized geometry

```
Li2ZnHg3
1.0
3.0879 0.0000 0.0000
0.0000 4.7234 0.0000
0.0000 0.0000 8.4036
Li Zn Hg
2 1 3
Direct
0.0000 0.0000 0.0000 Li
0.0000 0.5000 0.4860 Li
0.5000 0.0000 0.3164 Zn
0.5000 0.0000 0.6319 Hg
0.5000 0.5000 0.1758 Hg
0.5000 0.5000 0.8333 Hg
```

Results
Crystal system: orthorhombic
Space group: Pmm2
E_tot in eV per cell: -7.2

=====

Entry 6:
Li2CuMo | PBE | optimized geometry

```
Li2CuMo
1.0
4.6723 0.0000 0.0000
0.0000 4.6723 0.0000
0.0000 0.0000 2.5096
Li Cu Mo
2 1 1
Direct
0.0000 0.5000 0.0000 Li
0.5000 0.0000 0.0000 Li
0.0000 0.0000 0.5000 Cu
0.5000 0.5000 0.5000 Mo
```

Results
Crystal system: tetragonal
Space group: P4/mmm
E_tot in eV per cell: -16.6

=====

Entry 7:
NdErSi2Pd5 | PBE | optimized geometry

```
NdErSi2Pd5
1.0
4.2118 0.0000 0.0000
0.0000 4.2118 0.0000
0.0000 0.0000 9.0163
Nd Er Si Pd
1 1 2 5
Direct
0.0000 0.0000 0.0000 Nd
0.0000 0.0000 0.5000 Er
0.5000 0.5000 0.3703 Si
0.5000 0.5000 0.6297 Si
0.0000 0.5000 0.2379 Pd
0.0000 0.5000 0.7621 Pd
0.5000 0.0000 0.2379 Pd
0.5000 0.0000 0.7621 Pd
0.5000 0.5000 0.0000 Pd
```

Results
Crystal system: tetragonal
Space group: P4/mmm
E_tot in eV per cell: -54.1

=====

Entry 8:
SrSiTc2Ge2 | PBE | optimized geometry

```
SrSiTc2Ge2
1.0
4.5226 0.0000 0.0000
0.0000 4.5226 0.0000
0.0000 0.0000 5.7905
Sr Si Tc Ge
1 1 2 2
Direct
0.0000 0.0000 0.0000 Sr
0.0000 0.0000 0.5000 Si
0.0000 0.5000 0.5000 Tc
0.5000 0.0000 0.5000 Tc
0.5000 0.5000 0.2418 Ge
0.5000 0.5000 0.7582 Ge
```

Results
Crystal system: tetragonal
Space group: P4/mmm
E_tot in eV per cell: -38.3

=====

Entry 9:
Mg2Te2Pb | PBE | optimized geometry

```
Mg2Te2Pb
1.0
-2.2582 2.2582 7.4939
2.2582 -2.2582 7.4939
2.2582 2.2582 -7.4939
Mg Te Pb
2 2 1
Direct
0.2500 0.7500 0.5000 Mg
0.7500 0.2500 0.5000 Mg
0.1311 0.1311 0.0000 Te
0.8689 0.8689 0.0000 Te
0.5000 0.5000 0.0000 Pb
```

Results
Crystal system: tetragonal
Space group: I4/mmm
E_tot in eV per cell: -14.6

=====

Entry 10:
Ho10Tl3Bi3 | PBE | optimized geometry

```
Ho10Tl3Bi3
1.0
9.0141 0.0000 0.0000
-4.5071 7.8065 0.0000
0.0000 0.0000 6.5845
Ho Tl Bi
10 3 3
Direct
0.0000 0.2350 0.0000 Ho
0.0000 0.7641 0.5000 Ho
0.2350 0.0000 0.0000 Ho
0.2359 0.2359 0.5000 Ho
0.3333 0.6667 0.2567 Ho
0.3333 0.6667 0.7433 Ho
0.6667 0.3333 0.2567 Ho
0.6667 0.3333 0.7433 Ho
0.7641 0.0000 0.5000 Ho
0.7650 0.7650 0.0000 Ho
0.0000 0.3936 0.5000 Tl
0.3936 0.0000 0.5000 Tl
0.6064 0.6064 0.5000 Tl
0.0000 0.6039 0.0000 Bi
0.3961 0.3961 0.0000 Bi
0.6039 0.0000 0.0000 Bi
```

Results
Crystal system: hexagonal
Space group: P-62m
E_tot in eV per cell: -72.7

=====

Entry 11:
NaSmSnPb | PBE | optimized geometry

```
NaSmSnPb
1.0
0.0000 3.8459 3.8459
3.8459 0.0000 3.8459
3.8459 3.8459 0.0000
Na Sm Sn Pb
1 1 1 1
Direct
0.0000 0.0000 0.0000 Na
0.5000 0.5000 0.5000 Sm
0.2500 0.2500 0.2500 Sn
0.7500 0.7500 0.7500 Pb
```

Results
Crystal system: cubic
Space group: F-43m
E_tot in eV per cell: -15.0

=====

Entry 12:
Tl2ZnHg6 | PBE | optimized geometry

```
Tl2ZnHg6
1.0
5.8658 -3.3735 0.0000
5.8658 3.3735 0.0000
-0.0184 0.0000 6.1157
Tl Zn Hg
2 1 6
Direct
0.1663 0.1663 0.1861 Tl
0.8337 0.8337 0.8139 Tl
0.5000 0.5000 0.0000 Zn
0.1448 0.6770 0.3017 Hg
0.3220 0.3220 0.6990 Hg
0.3230 0.8552 0.6983 Hg
0.6770 0.1448 0.3017 Hg
0.6780 0.6780 0.3010 Hg
0.8552 0.3230 0.6983 Hg
```

Results
Crystal system: monoclinic
Space group: C2/m
E_tot in eV per cell: -7.6

=====

Entry 13:
Er2HfBr | PBE | optimized geometry

```
Er2HfBr
1.0
1.6589 0.9578 11.0886
-1.6589 0.9578 11.0886
0.0000 -1.9156 11.0886
Er Hf Br
2 1 1
Direct
0.0952 0.0952 0.0952 Er
0.9048 0.9048 0.9048 Er
0.0000 0.0000 0.0000 Hf
0.5000 0.5000 0.5000 Br
```

Results
Crystal system: trigonal
Space group: R-3m
E_tot in eV per cell: -20.9

=====

Entry 14:
BeCdRh3 | PBE | optimized geometry

```
BeCdRh3
1.0
4.8494 0.0000 0.0000
0.0000 4.8494 0.0000
0.0000 0.0000 4.8494
Be Cd Rh
1 1 3
Direct
0.0000 0.0000 0.0000 Be
0.5000 0.5000 0.5000 Cd
0.0000 0.5000 0.5000 Rh
0.5000 0.0000 0.5000 Rh
0.5000 0.5000 0.0000 Rh
```

Results
Crystal system: cubic
Space group: Pm-3m
E_tot in eV per cell: -17.1

=====

Entry 15:
Ag2Sn3Au8 | PBE | optimized geometry

```
Ag2Sn3Au8
1.0
2.7194 1.5700 11.5738
-2.7194 1.5700 11.5738
0.0000 -3.1401 11.5738
Ag Sn Au
2 3 8
Direct
0.1111 0.1111 0.1111 Ag
0.8889 0.8889 0.8889 Ag
0.2657 0.2657 0.2657 Sn
0.5000 0.5000 0.5000 Sn
0.7343 0.7343 0.7343 Sn
0.1890 0.1890 0.1890 Au
0.2064 0.2064 0.7034 Au
0.2064 0.7034 0.2064 Au
0.2966 0.7936 0.7936 Au
0.7034 0.2064 0.2064 Au
0.7936 0.2966 0.7936 Au
0.7936 0.7936 0.2966 Au
0.8110 0.8110 0.8110 Au
```

Results
Crystal system: trigonal
Space group: R-3m
E_tot in eV per cell: -43.2

=====

Entry 16:
Mn2AlSb | PBE | optimized geometry

```
Mn2AlSb
1.0
-1.9526 2.1243 3.7910
1.9526 -2.1243 3.7910
1.9526 2.1243 -3.7910
Mn Al Sb
2 1 1
Direct
0.2432 0.2432 0.0000 Mn
0.7568 0.7568 0.0000 Mn
0.0000 0.5000 0.5000 Al
0.5000 0.0000 0.5000 Sb
```

Results
Crystal system: orthorhombic
Space group: Immm
E_tot in eV per cell: -25.8

=====

Entry 17:
BaCa3Pd | PBE | optimized geometry

```
BaCa3Pd
1.0
3.9912 0.0000 0.0000
0.0000 3.7099 6.8122
0.0000 -3.7099 6.8122
Ba Ca Pd
1 3 1
Direct
0.0000 0.0000 0.0000 Ba
0.0000 0.4273 0.4273 Ca
0.5000 0.4874 0.9711 Ca
0.5000 0.9711 0.4874 Ca
0.5000 0.5709 0.5709 Pd
```

Results
Crystal system: orthorhombic
Space group: Amm2
E_tot in eV per cell: -13.5

=====

Entry 18:
InGe2Pt2 | PBE | optimized geometry

```
InGe2Pt2
1.0
7.6968 0.0000 0.0000
0.0000 7.6968 0.0000
0.0000 0.0000 3.0952
In Ge Pt
2 4 4
Direct
0.0000 0.0000 0.0000 In
0.5000 0.5000 0.0000 In
0.1524 0.3476 0.5000 Ge
0.3476 0.8476 0.5000 Ge
0.6524 0.1524 0.5000 Ge
0.8476 0.6524 0.5000 Ge
0.1375 0.6375 0.0000 Pt
0.3625 0.1375 0.0000 Pt
0.6375 0.8625 0.0000 Pt
0.8625 0.3625 0.0000 Pt
```

Results
Crystal system: tetragonal
Space group: P4/mbm
E_tot in eV per cell: -50.0

=====

Entry 19:
BaRuO3 | PBE | optimized geometry

```
BaRuO3
1.0
5.7945 0.0000 0.0000
-2.8973 5.0182 0.0000
0.0000 0.0000 14.2397
Ba Ru O
6 6 18
Direct
0.0000 0.0000 0.2500 Ba
0.0000 0.0000 0.7500 Ba
0.3333 0.6667 0.0881 Ba
0.3333 0.6667 0.4119 Ba
0.6667 0.3333 0.5881 Ba
0.6667 0.3333 0.9119 Ba
0.0000 0.0000 0.0000 Ru
0.0000 0.0000 0.5000 Ru
0.3333 0.6667 0.6605 Ru
0.3333 0.6667 0.8395 Ru
0.6667 0.3333 0.1605 Ru
0.6667 0.3333 0.3395 Ru
0.0214 0.5107 0.7500 O
0.1647 0.3295 0.5803 O
0.1647 0.3295 0.9197 O
0.1647 0.8353 0.5803 O
0.1647 0.8353 0.9197 O
0.3295 0.1647 0.0803 O
0.3295 0.1647 0.4197 O
0.4893 0.5107 0.7500 O
0.4893 0.9786 0.7500 O
0.5107 0.0214 0.2500 O
0.5107 0.4893 0.2500 O
0.6705 0.8353 0.5803 O
0.6705 0.8353 0.9197 O
0.8353 0.1647 0.0803 O
0.8353 0.1647 0.4197 O
0.8353 0.6705 0.0803 O
0.8353 0.6705 0.4197 O
0.9786 0.4893 0.2500 O
```

Results
Crystal system: hexagonal
Space group: P6_3/mmc
E_tot in eV per cell: -208.6

=====

Entry 20:
Fe2Cu2Sn | PBE | optimized geometry

```
Fe2Cu2Sn
1.0
6.5929 0.0000 0.0000
0.0000 6.5929 0.0000
0.0000 0.0000 3.3498
Fe Cu Sn
4 4 2
Direct
0.1221 0.3779 0.0000 Fe
0.3779 0.8779 0.0000 Fe
0.6221 0.1221 0.0000 Fe
0.8779 0.6221 0.0000 Fe
0.1662 0.6662 0.5000 Cu
0.3338 0.1662 0.5000 Cu
0.6662 0.8338 0.5000 Cu
0.8338 0.3338 0.5000 Cu
0.0000 0.0000 0.0000 Sn
0.5000 0.5000 0.0000 Sn
```

Results
Crystal system: tetragonal
Space group: P4/mbm
E_tot in eV per cell: -54.9